A plane-wave DFT calculation with PBE was carried out for a relaxed NdBeSb2 crystal.

Calculated values
For the volume, the calculation gives 36.13 Å³ per atom. As for the space group: R-3m. For the energy, the calculation gives -4.16 eV per atom. The value obtained for the theoretical density is 4.56 g/cm3.

abc: 4.483 4.483 8.698
angles: 75.07 75.07 60.00
Atoms (fractional coordinates):
Sb 0.092 0.092 0.725
Sb 0.908 0.908 0.275
Nd 0.500 0.500 0.500
Be 0.000 0.000 0.000


A plane-wave DFT calculation with PBE was carried out for a relaxed Tl2TeF crystal.

Calculated values
For the volume, the calculation gives 28.32 Å³ per atom. As for the space group: R-3m. For the energy above the most stable polymorph in this dataset, the calculation gives 120.2 meV/atom. For the energy, the calculation gives -3.27 eV per atom. The value obtained for the theoretical density is 8.14 g/cm3.

abc: 3.831 3.831 9.183
angles: 77.96 77.96 60.00
Atoms (fractional coordinates):
Tl 0.269 0.269 0.192
Tl 0.731 0.731 0.808
Te 0.500 0.500 0.500
F 0.000 0.000 0.000


A plane-wave DFT calculation with PBE was carried out for a relaxed VCrCoIr crystal.

Calculated values
For the volume, the calculation gives 13.15 Å³ per atom. As for the space group: F-43m. For the energy above the most stable polymorph in this dataset, the calculation gives 144.5 meV/atom. For the formation energy, the calculation gives -0.074 eV/atom. For the energy, the calculation gives -8.75 eV per atom. The value obtained for the theoretical density is 11.18 g/cm3.

abc: 4.206 4.206 4.206
angles: 60.00 60.00 60.00
Site moments in Bohr magnetons follow the coordinates.
Atoms (fractional coordinates):
Cr 0.750 0.750 0.750  2.43
Ir 0.500 0.500 0.500  0.21
Co 0.000 0.000 0.000  1.36
V 0.250 0.250 0.250  0.57


A plane-wave DFT calculation with PBE was carried out for a relaxed LiAgPt2 crystal.

Calculated values
For the volume, the calculation gives 15.18 Å³ per atom. As for the space group: P4mm. For the energy above the most stable polymorph in this dataset, the calculation gives 150.5 meV/atom. For the formation energy, the calculation gives -0.196 eV/atom. For the energy, the calculation gives -4.41 eV per atom. The value obtained for the theoretical density is 13.81 g/cm3.

abc: 2.808 2.808 7.698
angles: 90.00 90.00 90.00
Atoms (fractional coordinates):
Ag 0.000 0.000 0.513
Li 0.500 0.500 0.764
Pt 0.000 0.000 0.980
Pt 0.500 0.500 0.243


A plane-wave DFT calculation with PBE was carried out for a relaxed YMn2P crystal.

Calculated values
For the volume, the calculation gives 16.95 Å³ per atom. As for the space group: P4mm. For the formation energy, the calculation gives -0.193 eV/atom. For the energy, the calculation gives -7.75 eV per atom. The value obtained for the theoretical density is 5.63 g/cm3.

abc: 3.249 3.250 6.421
angles: 90.00 90.00 90.00
Site moments in Bohr magnetons follow the coordinates.
Atoms (fractional coordinates):
Mn 0.000 0.000 0.065  -2.54
Mn 0.500 0.500 0.257  3.34
P 0.000 0.000 0.434  -0.03
Y 0.500 0.500 0.744  0.35


A plane-wave DFT calculation with PBE was carried out for a relaxed KCaI2 crystal.

Calculated values
For the volume, the calculation gives 36.59 Å³ per atom. As for the space group: Fm-3m. For the energy above the most stable polymorph in this dataset, the calculation gives 177.5 meV/atom. For the energy, the calculation gives -2.55 eV per atom. The value obtained for the theoretical density is 3.78 g/cm3.

abc: 5.915 5.915 5.915
angles: 60.00 60.00 60.00
Atoms (fractional coordinates):
I 0.250 0.250 0.250
I 0.750 0.750 0.750
Ca 0.500 0.500 0.500
K 0.000 0.000 0.000


A plane-wave DFT calculation with PBE was carried out for a relaxed Ba2Cd5Au crystal.

Calculated values
For the volume, the calculation gives 29.90 Å³ per atom. As for the space group: Cmcm. For the formation energy, the calculation gives -0.360 eV/atom. For the energy, the calculation gives -1.82 eV per atom. The value obtained for the theoretical density is 7.18 g/cm3.

abc: 5.017 9.478 10.435
angles: 90.00 90.00 105.35
Atoms (fractional coordinates):
Ba 0.807 0.614 0.750
Ba 0.193 0.386 0.250
Ba 0.000 0.000 0.000
Ba 0.000 0.000 0.500
Cd 0.188 0.377 0.889
Cd 0.812 0.623 0.111
Cd 0.188 0.377 0.611
Cd 0.812 0.623 0.389
Cd 0.349 0.698 0.979
Cd 0.651 0.302 0.021
Cd 0.349 0.698 0.521
Cd 0.651 0.302 0.479
Cd 0.596 0.192 0.750
Cd 0.404 0.808 0.250
Au 0.441 0.881 0.750
Au 0.559 0.119 0.250


A plane-wave DFT calculation with PBE was carried out for a relaxed Na4Pb3 crystal.

Calculated values
For the volume, the calculation gives 29.09 Å³ per atom. As for the space group: C2/m. For the energy above the most stable polymorph in this dataset, the calculation gives 0.0 meV/atom. For the formation energy, the calculation gives -0.138 eV/atom. For the energy, the calculation gives -2.48 eV per atom. The value obtained for the theoretical density is 5.82 g/cm3.

abc: 5.369 5.438 8.539
angles: 107.41 90.00 119.58
Atoms (fractional coordinates):
Na 0.927 0.855 0.778
Na 0.073 0.145 0.222
Na 0.784 0.569 0.354
Na 0.216 0.431 0.646
Pb 0.642 0.285 0.923
Pb 0.500 0.000 0.500
Pb 0.358 0.715 0.077


Question: What is the theoretical density in the seventh record?
Answer: 7.18 g/cm3


What did the first record say?
A plane-wave DFT calculation with PBE was carried out for a relaxed NdBeSb2 crystal.

Calculated values
For the volume, the calculation gives 36.13 Å³ per atom. As for the space group: R-3m. For the energy, the calculation gives -4.16 eV per atom. The value obtained for the theoretical density is 4.56 g/cm3.

abc: 4.483 4.483 8.698
angles: 75.07 75.07 60.00
Atoms (fractional coordinates):
Sb 0.092 0.092 0.725
Sb 0.908 0.908 0.275
Nd 0.500 0.500 0.500
Be 0.000 0.000 0.000